(1)
DFT (GGA-PBE) results for Ag3AuCl after structural relaxation.

Computed properties:
DOS at the Fermi energy (states/eV per atom): 0.588
ρ (g/cm3): 6.50
Total magnetization (μB/cell): 0.0
Final energy (eV per cell): -11.4
Raw formation energy (eV per atom): 0.46
Energy relative to the lowest polymorph listed for this composition (eV per formula unit): 0.00

abc: 5.217 5.217 5.217
angles: 90.00 90.00 90.00
Atoms (fractional coordinates):
Ag 0.000 0.000 0.500
Ag 0.500 0.000 0.000
Ag 0.000 0.500 0.000
Au 0.000 0.000 0.000
Cl 0.500 0.500 0.500

(2)
DFT (GGA-PBE) results for AgAuCl2 after structural relaxation.

Computed properties:
DOS at the Fermi energy (states/eV per atom): 0.845
ρ (g/cm3): 7.77
Total magnetization (μB/cell): 0.0
Final energy (eV per cell): -8.9
Raw formation energy (eV per atom): 0.23
Energy relative to the lowest polymorph listed for this composition (eV per formula unit): 2.14

abc: 4.842 4.842 4.842
angles: 60.00 60.00 60.00
Atoms (fractional coordinates):
Au 0.750 0.750 0.750
Cl 0.250 0.250 0.250
Cl 0.000 0.000 0.000
Ag 0.500 0.500 0.500

(3)
DFT (GGA-PBE) results for Ag3AuCl8 after structural relaxation.

Computed properties:
DOS at the Fermi energy (states/eV per atom): 0.710
ρ (g/cm3): 3.90
Total magnetization (μB/cell): 0.7
Final energy (eV per cell): -30.7
Raw formation energy (eV per atom): -0.34

abc: 7.404 8.656 6.884
angles: 117.58 90.00 115.32
Last column: magnetic moment on the atom in μB.
Atoms (fractional coordinates):
Ag 0.500 0.500 0.000  0.12
Ag 0.000 0.500 0.000  0.12
Ag 0.500 0.000 0.000  0.00
Cl 0.262 0.524 0.255  0.09
Cl 0.781 0.002 0.762  0.00
Cl 0.221 0.002 0.762  0.00
Cl 0.738 0.476 0.745  0.09
Cl 0.219 0.998 0.238  0.00
Cl 0.779 0.998 0.238  0.00
Cl 0.266 0.533 0.776  0.09
Cl 0.734 0.467 0.224  0.09
Au 0.000 0.000 0.000  0.00

(4)
DFT (GGA-PBE) results for AgAuCl2 after structural relaxation.

Computed properties:
ρ (g/cm3): 6.75
Total magnetization (μB/cell): 0.0
Final energy (eV per cell): -10.2
Raw formation energy (eV per atom): -0.10
Energy relative to the lowest polymorph listed for this composition (eV per formula unit): 0.84

abc: 3.648 3.648 6.941
angles: 90.00 90.00 90.00
Atoms (fractional coordinates):
Cl 0.500 0.500 0.349
Cl 0.000 0.000 0.912
Ag 0.000 0.000 0.518
Au 0.500 0.500 0.721

(5)
DFT (GGA-PBE) results for AgAuCl2 after structural relaxation.

Computed properties:
DOS at the Fermi energy (states/eV per atom): 0.000
ρ (g/cm3): 5.58
Total magnetization (μB/cell): 0.0
Final energy (eV per cell): -11.0
Raw formation energy (eV per atom): -0.31
Energy relative to the lowest polymorph listed for this composition (eV per formula unit): 0.00

abc: 6.341 6.341 4.806
angles: 86.83 86.83 35.44
Atoms (fractional coordinates):
Ag 0.750 0.750 0.750
Au 0.250 0.250 0.250
Cl 0.105 0.105 0.957
Cl 0.395 0.395 0.543

(6)
DFT (GGA-PBE) results for Ag2Au3Cl6 after structural relaxation.

Computed properties:
DOS at the Fermi energy (states/eV per atom): 0.598
ρ (g/cm3): 5.50
Total magnetization (μB/cell): 0.0
Final energy (eV per cell): -59.3
Raw formation energy (eV per atom): -0.27

abc: 6.682 7.040 15.355
angles: 77.84 77.43 61.67
Atoms (fractional coordinates):
Cl 0.150 0.965 0.600
Cl 0.812 0.616 0.592
Cl 0.614 0.789 0.097
Cl 0.500 0.711 0.403
Cl 0.386 0.211 0.903
Cl 0.850 0.035 0.400
Cl 0.715 0.535 0.900
Cl 0.980 0.116 0.092
Cl 0.285 0.465 0.100
Cl 0.500 0.289 0.597
Cl 0.188 0.384 0.408
Cl 0.020 0.884 0.908
Ag 0.654 0.181 0.008
Ag 0.346 0.819 0.992
Ag 0.158 0.681 0.508
Ag 0.842 0.319 0.492
Au 0.934 0.066 0.246
Au 0.753 0.566 0.746
Au 0.485 0.250 0.750
Au 0.247 0.434 0.254
Au 0.066 0.934 0.754
Au 0.515 0.750 0.250

(7)
DFT (GGA-PBE) results for Ag3AuCl6 after structural relaxation.

Computed properties:
ρ (g/cm3): 4.10
Total magnetization (μB/cell): 0.0
Final energy (eV per cell): -53.4
Raw formation energy (eV per atom): -0.38
Energy relative to the lowest polymorph listed for this composition (eV per formula unit): 0.00

abc: 6.884 7.991 11.287
angles: 90.00 106.84 90.00
Atoms (fractional coordinates):
Cl 0.804 0.652 0.561
Cl 0.314 0.746 0.436
Cl 0.696 0.152 0.939
Cl 0.139 0.029 0.721
Cl 0.814 0.754 0.936
Cl 0.304 0.848 0.061
Cl 0.861 0.971 0.279
Cl 0.196 0.348 0.439
Cl 0.686 0.254 0.564
Cl 0.639 0.471 0.221
Cl 0.186 0.246 0.064
Cl 0.361 0.529 0.779
Au 0.500 0.500 0.500
Au 0.000 0.000 0.000
Ag 0.936 0.648 0.343
Ag 0.000 0.000 0.500
Ag 0.064 0.352 0.657
Ag 0.436 0.852 0.843
Ag 0.500 0.500 0.000
Ag 0.564 0.148 0.157

(8)
DFT (GGA-PBE) results for AgAuCl2 after structural relaxation.

Computed properties:
DOS at the Fermi energy (states/eV per atom): 0.000
ρ (g/cm3): 5.66
Total magnetization (μB/cell): 0.0
Final energy (eV per cell): -11.0
Raw formation energy (eV per atom): -0.30
Energy relative to the lowest polymorph listed for this composition (eV per formula unit): 0.02

abc: 7.822 7.822 7.822
angles: 30.63 30.63 30.63
Atoms (fractional coordinates):
Cl 0.897 0.897 0.897
Cl 0.103 0.103 0.103
Au 0.000 0.000 0.000
Ag 0.500 0.500 0.500

(9)
DFT (GGA-PBE) results for Ag2AuCl5 after structural relaxation.

Computed properties:
DOS at the Fermi energy (states/eV per atom): 0.019
ρ (g/cm3): 4.41
Total magnetization (μB/cell): 0.0
Final energy (eV per cell): -20.0
Raw formation energy (eV per atom): -0.22
Energy relative to the lowest polymorph listed for this composition (eV per formula unit): 1.08

abc: 7.559 7.558 6.638
angles: 125.21 124.70 90.00
Atoms (fractional coordinates):
Cl 0.866 0.308 0.175
Cl 0.659 0.660 0.319
Cl 0.308 0.866 0.174
Cl 0.866 0.866 0.174
Cl 0.308 0.308 0.175
Ag 0.098 0.598 0.196
Ag 0.598 0.098 0.196
Au 0.073 0.072 0.145

(10)
DFT (GGA-PBE) results for AgAuCl2 after structural relaxation.

Computed properties:
DOS at the Fermi energy (states/eV per atom): 0.114
ρ (g/cm3): 7.06
Total magnetization (μB/cell): 0.0
Final energy (eV per cell): -10.3
Raw formation energy (eV per atom): -0.11
Energy relative to the lowest polymorph listed for this composition (eV per formula unit): 0.78

abc: 3.876 7.032 5.864
angles: 33.57 90.00 90.00
Atoms (fractional coordinates):
Ag 0.500 0.500 0.500
Cl 0.000 0.000 0.000
Cl 0.500 0.500 0.000
Au 0.000 0.000 0.500

(11)
DFT (GGA-PBE) results for AgAu4Cl after structural relaxation.

Computed properties:
DOS at the Fermi energy (states/eV per atom): 0.140
ρ (g/cm3): 12.67
Total magnetization (μB/cell): 0.0
Final energy (eV per cell): -17.1
Raw formation energy (eV per atom): 0.11

abc: 5.568 5.568 5.568
angles: 60.00 60.00 60.00
Atoms (fractional coordinates):
Ag 0.000 0.000 0.000
Au 0.375 0.375 0.375
Au 0.375 0.375 0.875
Au 0.375 0.875 0.375
Au 0.875 0.375 0.375
Cl 0.750 0.750 0.750